Record 1
LaNi2P: relaxed, PBE.

```
LaNi2P
1.0
-2.109 2.109 3.868
2.109 -2.109 3.868
2.109 2.109 -3.868
Ni P La
2 1 1
Cartesian
2.109 0.000 1.934
0.000 0.000 0.000
0.000 0.000 3.868
0.000 2.109 1.934
```

Values from the calculation:
Its space group is I-4m2, No. 119. For the total energy, the calculation gives -5.620 eV/atom.

---

Record 2
LaNiP2: relaxed, PBE.

```
LaNiP2
1.0
5.364 -0.004 0.011
2.067 4.950 -0.011
-3.584 -2.670 2.966
Ni P La
1 2 1
Cartesian
0.743 2.139 1.478
2.523 -0.250 1.489
0.798 0.531 0.000
3.498 2.328 0.000
```

Values from the calculation:
Its space group is Imm2, No. 44. For the total energy, the calculation gives -5.946 eV/atom.

---

Record 3
La2Ni12P5: relaxed, PBE.

```
La2Ni12P5
1.0
3.694 0.000 0.000
0.000 10.952 0.008
0.000 4.064 12.540
P Ni La
10 24 4
Cartesian
2.771 2.615 7.785
2.771 9.011 9.299
0.924 5.902 7.663
2.771 7.733 0.197
0.924 3.628 10.923
2.771 11.387 1.625
0.924 7.283 12.351
0.924 12.400 4.764
2.771 9.114 4.885
0.924 6.005 3.250
0.924 8.802 10.656
0.924 12.485 11.522
2.771 13.543 9.991
0.924 3.875 8.712
2.771 4.623 7.039
0.924 8.013 5.624
0.924 5.540 5.492
0.924 0.927 0.118
2.771 9.476 7.056
0.924 10.393 5.510
0.924 2.929 6.393
2.771 12.087 6.156
2.771 6.934 4.276
2.771 14.088 12.430
2.771 7.003 6.924
2.771 2.530 1.026
0.924 8.082 8.272
2.771 6.214 1.892
2.771 10.695 10.849
2.771 11.141 3.836
0.924 6.324 0.179
2.771 8.691 12.369
0.924 1.472 2.558
0.924 4.321 1.699
2.771 3.704 3.969
0.924 8.947 2.360
2.771 6.069 10.188
0.924 11.312 8.579
```

Values from the calculation:
Its space group is P2_1/m, No. 11. For the total energy, the calculation gives -6.287 eV/atom.

---

Record 4
La2Ni12P7: relaxed, PBE.

```
La2Ni12P7
1.0
3.790 0.000 0.000
0.000 7.912 -4.568
0.000 0.000 9.136
La Ni P
2 12 7
Cartesian
1.895 0.000 0.000
0.000 5.274 0.000
0.000 3.799 6.372
1.895 1.731 3.198
1.895 3.019 0.904
0.000 0.494 4.671
0.000 2.166 -0.896
1.895 1.904 6.037
1.895 5.619 -2.405
1.895 4.276 4.468
0.000 6.053 3.139
0.000 7.604 -2.244
1.895 7.185 1.501
0.000 3.619 2.660
1.895 4.988 2.307
0.000 2.637 4.568
0.000 1.817 1.379
0.000 5.809 5.452
1.895 7.416 -0.905
1.895 3.420 -1.402
0.000 0.285 6.873
```

Values from the calculation:
Its space group is P-6, No. 174. For the total energy, the calculation gives -6.308 eV/atom.

---

no.,energy of formation (eV/atom),density of states at the Fermi level (states/eV/f.u.),total moment (Bohr magnetons per cell)
1,-0.145,3.1,0.00
2,-0.564,2.0,0.00
3,-0.694,14.3,0.00
4,-0.732,13.3,0.00